No. 1
VASP calculation (GGA-PBE) on a relaxed La2CdP2OsO2 crystal.

It has space group P-4m2 (No. 115), with a = 4.129 Å, b = 4.129 Å, c = 8.657 Å, α = 90.00°, β = 90.00° and γ = 90.00°. The distinct sites, in fractional coordinates, are La at (0.000, 0.500, 0.138), Cd at (0.000, 0.000, 0.500), P at (0.000, 0.500, 0.662), Os at (0.500, 0.500, 0.500), O at (0.000, 0.000, 0.000) and O at (0.500, 0.500, 0.000).

For the magnetic moment, the calculation gives 0.28 μB/f.u.

=====

No. 2
VASP calculation (GGA-PBE) on a relaxed RbDySeO crystal.

It has space group P2_1/c (No. 14), with a = 8.103 Å, b = 7.459 Å, c = 6.618 Å, α = 90.00°, β = 101.09° and γ = 90.00°. The distinct sites, in fractional coordinates, are Rb at (0.089, 0.217, 0.483), Dy at (0.478, 0.628, 0.780), Se at (0.253, 0.592, 0.365) and O at (0.411, 0.147, 0.385).

For the magnetic moment, the calculation gives 0.00 μB/f.u. For the relative energy among the computed polymorphs, the calculation gives 0.000 eV per atom.

=====

No. 3
VASP calculation (GGA-PBE) on a relaxed SmHoAlIr2 crystal.

It has space group Imm2 (No. 44), with a = 4.114 Å, b = 5.849 Å, c = 8.615 Å, α = 90.00°, β = 90.00° and γ = 90.00°. The distinct sites, in fractional coordinates, are Sm at (0.000, 0.000, 0.000), Ho at (0.000, 0.000, 0.396), Al at (0.000, 0.500, 0.198) and Ir at (0.000, 0.259, 0.698).

For the magnetic moment, the calculation gives 0.00 μB/f.u.

=====

No. 4
VASP calculation (GGA-PBE) on a relaxed LiAgHPd2 crystal.

It has space group P4/mmm (No. 123), with a = 3.948 Å, b = 3.948 Å, c = 4.080 Å, α = 90.00°, β = 90.00° and γ = 90.00°. The distinct sites, in fractional coordinates, are Li at (0.000, 0.000, 0.000), Ag at (0.500, 0.500, 0.000), H at (0.000, 0.000, 0.500) and Pd at (0.000, 0.500, 0.500).

=====

No. 5
VASP calculation (GGA-PBE) on a relaxed Sr2AgPt crystal.

It has space group F-43m (No. 216), with a = 7.331 Å, b = 7.331 Å, c = 7.331 Å, α = 90.00°, β = 90.00° and γ = 90.00°. The distinct sites, in fractional coordinates, are Sr at (0.000, 0.000, 0.000), Sr at (0.250, 0.250, 0.250), Ag at (0.250, 0.250, 0.750) and Pt at (0.000, 0.000, 0.500).

For the magnetic moment, the calculation gives 0.01 μB/f.u. For the relative energy among the computed polymorphs, the calculation gives 0.380 eV per atom.

=====

No. 6
VASP calculation (GGA-PBE) on a relaxed ThTc2 crystal.

It has space group Fd-3m (No. 227, origin choice 2), with a = 11.754 Å, b = 11.754 Å, c = 11.754 Å, α = 90.00°, β = 90.00° and γ = 90.00°. The distinct sites, in fractional coordinates, are Th at (0.125, 0.125, 0.125) and Tc at (0.000, 0.000, 0.000).

For the magnetic moment, the calculation gives 3.93 μB/f.u. For the relative energy among the computed polymorphs, the calculation gives 3.233 eV per atom. The formation energy comes out at 3.0927 eV/atom.

=====

No. 7
VASP calculation (GGA-PBE) on a relaxed BaCdGaAu crystal.

It has space group F-43m (No. 216), with a = 7.514 Å, b = 7.514 Å, c = 7.514 Å, α = 90.00°, β = 90.00° and γ = 90.00°. The distinct sites, in fractional coordinates, are Ba at (0.000, 0.000, 0.000), Cd at (0.000, 0.000, 0.500), Ga at (0.250, 0.250, 0.750) and Au at (0.250, 0.250, 0.250).

For the relative energy among the computed polymorphs, the calculation gives 0.000 eV per atom.

=====

No. 8
VASP calculation (GGA-PBE) on a relaxed Li7HfO6 crystal.

It has space group R3 (No. 146, hexagonal axes), with a = 5.5603 Å, b = 5.5603 Å, c = 14.8445 Å, α = 90.00°, β = 90.00° and γ = 120.00°. The distinct sites, in fractional coordinates, are Li at (0.0000, 0.0000, 0.0000), Li at (0.0110, 0.6239, 0.4600), Li at (0.0143, 0.2881, 0.5613), Hf at (0.0000, 0.0000, 0.3437), O at (0.0438, 0.3628, 0.0947) and O at (0.0464, 0.7006, 0.9277).

For the magnetic moment, the calculation gives 1.00 μB/f.u.

=====

Ordered volume results: 147.6, 392.5, 207.3, 63.6, 393.9, 1623.9, 424.2, 397.5; unit Å³/cell.
Ordered electronic total energy results: -55.46, -91.68, -70.45, -19.94, -52.47, -150.85, -41.13, -247.66; unit eV/cell.